# PmNd4Sm5 (PBE, optimized geometry)
# Energy relative to the lowest polymorph listed for this composition (meV/atom): 3
# Magnetic moment (μB/f.u.): 0.00
# Formation energy (eV per atom): 0.18
data_PmNd4Sm5
_chemical_formula_sum 'Pm2 Nd8 Sm10'
_cell_length_a 10.797
_cell_length_b 10.797
_cell_length_c 5.907
_cell_angle_alpha 90.00
_cell_angle_beta 90.00
_cell_angle_gamma 90.00
_space_group_name_H-M_alt 'P 4/n m m'
_space_group_IT_number 129
loop_
_space_group_symop_operation_xyz
'x,y,z'
'-x,-y,-z'
'-y+1/2,x,z'
'y+1/2,-x,-z'
'-x+1/2,-y+1/2,z'
'x+1/2,y+1/2,-z'
'y,-x+1/2,z'
'-y,x+1/2,-z'
'x+1/2,-y,-z'
'-x+1/2,y,z'
'-y,-x,-z'
'y,x,z'
'-x,y+1/2,-z'
'x,-y+1/2,z'
'y+1/2,x+1/2,-z'
'-y+1/2,-x+1/2,z'
loop_
_atom_site_label
_atom_site_type_symbol
_atom_site_fract_x
_atom_site_fract_y
_atom_site_fract_z
Pm1 Pm 0.250 0.250 0.131
Nd1 Nd 0.045 0.750 0.866
Sm1 Sm 0.087 0.087 0.669
Sm2 Sm 0.250 0.750 0.500


# Ba2POs (PBE, optimized geometry)
# Magnetic moment (μB/f.u.): 3.03
# Formation energy (eV per atom): 0.60
data_Ba2POs
_chemical_formula_sum 'Ba6 P3 Os3'
_cell_length_a 4.4744
_cell_length_b 4.4744
_cell_length_c 24.0212
_cell_angle_alpha 90.00
_cell_angle_beta 90.00
_cell_angle_gamma 120.00
_space_group_name_H-M_alt 'R -3 m'
_space_group_IT_number 166
_space_group_name_Hall '-R 3 2"'
loop_
_atom_site_label
_atom_site_type_symbol
_atom_site_fract_x
_atom_site_fract_y
_atom_site_fract_z
Ba1 Ba 0.0000 0.0000 0.2457
P1 P 0.0000 0.0000 0.5000
Os1 Os 0.0000 0.0000 0.0000


# Fe3PI (PBE, optimized geometry)
# E_form (uncorrected) (eV per formula unit): 8.5
# Energy relative to the lowest polymorph listed for this composition (meV/atom): 1153
# Magnetic moment (μB/f.u.): 7.99
data_Fe3PI
_chemical_formula_sum 'Fe3 P1 I1'
_cell_length_a 4.720
_cell_length_b 4.720
_cell_length_c 4.720
_cell_angle_alpha 90.00
_cell_angle_beta 90.00
_cell_angle_gamma 90.00
_space_group_name_H-M_alt 'P m -3 m'
_space_group_IT_number 221
_space_group_name_Hall '-P 4 2 3'
loop_
_atom_site_label
_atom_site_type_symbol
_atom_site_fract_x
_atom_site_fract_y
_atom_site_fract_z
Fe1 Fe 0.000 0.000 0.500
P1 P 0.500 0.500 0.500
I1 I 0.000 0.000 0.000


# Er12TlPd6 (PBE, optimized geometry)
# Energy relative to the lowest polymorph listed for this composition (meV/atom): 113
# Magnetic moment (μB/f.u.): 0.00
# Formation energy (eV per atom): -0.51
data_Er12TlPd6
_chemical_formula_sum 'Er36 Tl3 Pd18'
_cell_length_a 14.0085
_cell_length_b 14.0085
_cell_length_c 8.9286
_cell_angle_alpha 90.00
_cell_angle_beta 90.00
_cell_angle_gamma 120.00
_space_group_name_H-M_alt 'R -3'
_space_group_IT_number 148
_space_group_name_Hall '-R 3'
loop_
_atom_site_label
_atom_site_type_symbol
_atom_site_fract_x
_atom_site_fract_y
_atom_site_fract_z
Er1 Er 0.0399 0.7870 0.4266
Er2 Er 0.0579 0.8798 0.8255
Tl1 Tl 0.0000 0.0000 0.5000
Pd1 Pd 0.0719 0.5729 0.7813


# MnHPd3 (PBE, optimized geometry)
# Energy relative to the lowest polymorph listed for this composition (meV/atom): 321
# Magnetic moment (μB/f.u.): 0.00
data_MnHPd3
_chemical_formula_sum 'Mn2 H2 Pd6'
_cell_length_a 4.929
_cell_length_b 5.095
_cell_length_c 5.286
_cell_angle_alpha 108.28
_cell_angle_beta 95.08
_cell_angle_gamma 97.53
_space_group_name_H-M_alt 'P -1'
_space_group_IT_number 2
_space_group_name_Hall '-P 1'
loop_
_atom_site_label
_atom_site_type_symbol
_atom_site_fract_x
_atom_site_fract_y
_atom_site_fract_z
Mn1 Mn 0.093 0.447 0.136
H1 H 0.377 0.129 0.867
Pd1 Pd 0.157 0.815 0.580
Pd2 Pd 0.278 0.003 0.148
Pd3 Pd 0.390 0.395 0.707


# LiInH3 (PBE, optimized geometry)
# Energy relative to the lowest polymorph listed for this composition (meV/atom): 298
# Magnetic moment (μB/f.u.): 0.00
data_LiInH3
_chemical_formula_sum 'Li1 In1 H3'
_cell_length_a 3.628
_cell_length_b 3.628
_cell_length_c 3.628
_cell_angle_alpha 90.00
_cell_angle_beta 90.00
_cell_angle_gamma 90.00
_space_group_name_H-M_alt 'P m -3 m'
_space_group_IT_number 221
_space_group_name_Hall '-P 4 2 3'
loop_
_atom_site_label
_atom_site_type_symbol
_atom_site_fract_x
_atom_site_fract_y
_atom_site_fract_z
Li1 Li 0.000 0.000 0.000
In1 In 0.500 0.500 0.500
H1 H 0.000 0.000 0.500


# KHgCl2 (PBE, optimized geometry)
# E_form (uncorrected) (eV per formula unit): -4.0
# Energy relative to the lowest polymorph listed for this composition (meV/atom): 90
# Magnetic moment (μB/f.u.): 0.00
data_KHgCl2
_chemical_formula_sum 'K1 Hg1 Cl2'
_cell_length_a 3.840
_cell_length_b 3.980
_cell_length_c 7.829
_cell_angle_alpha 90.00
_cell_angle_beta 90.15
_cell_angle_gamma 90.00
_space_group_name_H-M_alt 'P 1 2/m 1'
_space_group_IT_number 10
_space_group_name_Hall '-P 2y'
loop_
_atom_site_label
_atom_site_type_symbol
_atom_site_fract_x
_atom_site_fract_y
_atom_site_fract_z
K1 K 0.000 0.000 0.000
Hg1 Hg 0.500 0.000 0.500
Cl1 Cl 0.500 0.500 0.225


# Ni3IrRh (PBE, optimized geometry)
# Energy relative to the lowest polymorph listed for this composition (meV/atom): 0
# Magnetic moment (μB/f.u.): 1.37
# Formation energy (eV per atom): 0.03
data_Ni3IrRh
_chemical_formula_sum 'Ni6 Ir2 Rh2'
_cell_length_a 4.458
_cell_length_b 5.299
_cell_length_c 5.761
_cell_angle_alpha 76.69
_cell_angle_beta 75.65
_cell_angle_gamma 72.82
_space_group_name_H-M_alt 'P -1'
_space_group_IT_number 2
_space_group_name_Hall '-P 1'
loop_
_atom_site_label
_atom_site_type_symbol
_atom_site_fract_x
_atom_site_fract_y
_atom_site_fract_z
Ni1 Ni 0.003 0.246 0.497
Ni2 Ni 0.194 0.052 0.100
Ni3 Ni 0.200 0.550 0.100
Ir1 Ir 0.399 0.849 0.705
Rh1 Rh 0.397 0.350 0.704